A PBEsol-optimized structure of NdB4Ir4, computed with meta-GGA SCAN.

Formation enthalpy at 0 K, meV per atom: -653

Cell: 7.6182 7.6182 3.9675 Å, 90.00 90.00 90.00°
With the nearest neighbours (Å) after each atom.
Space group P4_2/n (No. 86, origin choice 2)
One atom of each set of equivalent atoms:
Nd: 0.2500 0.2500 0.2500 (multiplicity 2)  8 B 2.90-3.13, 8 Ir 3.15-3.23
B: 0.0298 0.5918 0.1414 (multiplicity 8)  1 B 1.85
Ir: 0.0925 0.8603 0.1404 (multiplicity 8)  4 B 2.09-2.16

=====

A PBEsol-optimized structure of KCa2AgW, computed with meta-GGA SCAN.

Formation enthalpy at 0 K, meV per atom: 991

Cell: 5.6244 5.6244 5.0934 Å, 90.00 90.00 90.00°
With the nearest neighbours (Å) after each atom.
Space group P4/mmm (No. 123)
One atom of each set of equivalent atoms:
K: 0.0000 0.0000 0.0000 (multiplicity 1)  8 Ca 3.79, 4 Ag 3.98
Ca: 0.0000 0.5000 0.5000 (multiplicity 2)  2 W 2.81
Ag: 0.5000 0.5000 0.0000 (multiplicity 1)  2 W 2.55
W: 0.5000 0.5000 0.5000 (multiplicity 1)  2 Ag 2.55, 4 Ca 2.81

=====

A PBEsol-optimized structure of Cd2SbAu, computed with meta-GGA SCAN.

Formation energy without anion corrections, kJ per mole of atoms: 2.08

Cell: 4.3775 4.3775 8.7609 Å, 90.00 90.00 90.00°
With the nearest neighbours (Å) after each atom.
Space group I4/mmm (No. 139)
One atom of each set of equivalent atoms:
Cd: 0.0000 0.5000 0.2500 (multiplicity 4)  4 Cd 3.10, 4 Sb 3.10, 4 Au 3.10
Sb: 0.0000 0.0000 0.0000 (multiplicity 2)  4 Au 3.10, 8 Cd 3.10
Au: 0.0000 0.0000 0.5000 (multiplicity 2)  4 Sb 3.10, 8 Cd 3.10

=====

A PBEsol-optimized structure of BaInAs2, computed with meta-GGA SCAN.

Formation enthalpy at 0 K, meV per atom: -407

Cell: 4.0253 3.9247 6.6403 Å, 90.00 91.27 90.00°
With the nearest neighbours (Å) after each atom.
Space group P2/m (No. 10)
One atom of each set of equivalent atoms:
Ba: 0.0000 0.0000 0.0000 (multiplicity 1)  2 In 3.32, 8 As 3.41-3.56
In: 0.0000 0.0000 0.5000 (multiplicity 1)  8 As 2.95-3.22
As: 0.4572 0.5000 0.6901 (multiplicity 2)  1 As 2.56

=====

A PBEsol-optimized structure of Hg2SbRh, computed with meta-GGA SCAN.

Formation energy without anion corrections, kJ per mole of atoms: 25.71

Cell: 4.3152 4.3152 8.3671 Å, 90.00 90.00 90.00°
With the nearest neighbours (Å) after each atom.
Space group I-4m2 (No. 119)
One atom of each set of equivalent atoms:
Hg: 0.0000 0.0000 0.0000 (multiplicity 2)  4 Hg 3.01, 4 Sb 3.01, 4 Rh 3.05
Hg: 0.0000 0.5000 0.2500 (multiplicity 2)  4 Hg 3.01, 4 Rh 3.01, 4 Sb 3.05
Sb: 0.0000 0.5000 0.7500 (multiplicity 2)  8 Hg 3.01-3.05, 4 Rh 3.01
Rh: 0.0000 0.0000 0.5000 (multiplicity 2)  8 Hg 3.01-3.05, 4 Sb 3.01

=====

A PBEsol-optimized structure of KMgInNi2, computed with meta-GGA SCAN.

Formation enthalpy at 0 K, meV per atom: 1683

Cell: 4.5595 4.5595 5.4979 Å, 90.00 90.00 90.00°
With the nearest neighbours (Å) after each atom.
Space group P4/mmm (No. 123)
One atom of each set of equivalent atoms:
K: 0.0000 0.0000 0.0000 (multiplicity 1)  4 Ni 2.28
Mg: 0.5000 0.5000 0.5000 (multiplicity 1)  4 In 3.22, 8 Ni 3.57
In: 0.0000 0.0000 0.5000 (multiplicity 1)  2 K 2.75
Ni: 0.0000 0.5000 0.0000 (multiplicity 2)  2 K 2.28

=====

A PBEsol-optimized structure of NaCaAg2C, computed with meta-GGA SCAN.

Formation enthalpy at 0 K, meV per atom: 1263

Cell: 5.5095 5.5095 4.6566 Å, 90.00 90.00 90.00°
With the nearest neighbours (Å) after each atom.
Space group P4/mmm (No. 123)
One atom of each set of equivalent atoms:
Na: 0.0000 0.0000 0.0000 (multiplicity 1)  8 Ag 3.61, 4 C 3.90
Ca: 0.5000 0.5000 0.5000 (multiplicity 1)  2 C 2.33
Ag: 0.0000 0.5000 0.5000 (multiplicity 2)  2 Ca 2.75
C: 0.5000 0.5000 0.0000 (multiplicity 1)  2 Ca 2.33

=====

A PBEsol-optimized structure of Er, computed with meta-GGA SCAN.

Formation enthalpy at 0 K, meV per atom: 25
Offset from the most stable computed form, meV/atom: 25

Cell: 4.8440 4.8440 4.8440 Å, 90.00 90.00 90.00°
With the nearest neighbours (Å) after each atom.
Space group Fm-3m (No. 225)
One atom of each set of equivalent atoms:
Er: 0.0000 0.0000 0.0000 (multiplicity 4)  12 Er 3.43

=====

A PBEsol-optimized structure of CsOsF2, computed with meta-GGA SCAN.

Formation energy without anion corrections, kJ per mole of atoms: -11.75
Offset from the most stable computed form, meV/atom: 275

Cell: 6.6132 6.6132 6.6132 Å, 90.00 90.00 90.00°
With the nearest neighbours (Å) after each atom.
Space group Fm-3m (No. 225)
One atom of each set of equivalent atoms:
Cs: 0.0000 0.0000 0.0000 (multiplicity 4)  8 F 2.86
Os: 0.0000 0.0000 0.5000 (multiplicity 4)  8 F 2.86
F: 0.2500 0.2500 0.2500 (multiplicity 8)  4 Cs 2.86, 4 Os 2.86

=====

A PBEsol-optimized structure of ErScZn2, computed with meta-GGA SCAN.

Formation enthalpy at 0 K, meV per atom: -449

Cell: 6.7771 6.7771 6.7771 Å, 90.00 90.00 90.00°
With the nearest neighbours (Å) after each atom.
Space group Fm-3m (No. 225)
One atom of each set of equivalent atoms:
Er: 0.0000 0.0000 0.0000 (multiplicity 4)  8 Zn 2.93
Sc: 0.0000 0.0000 0.5000 (multiplicity 4)  8 Zn 2.93
Zn: 0.2500 0.2500 0.2500 (multiplicity 8)  4 Er 2.93, 4 Sc 2.93

=====

A PBEsol-optimized structure of Sc3Be, computed with meta-GGA SCAN.

Formation enthalpy at 0 K, meV per atom: 23
Offset from the most stable computed form, meV/atom: 15

Cell: 3.2986 4.6722 10.1028 Å, 90.00 90.00 90.00°
With the nearest neighbours (Å) after each atom.
Space group Immm (No. 71)
One atom of each set of equivalent atoms:
Sc: 0.0000 0.0000 0.0000 (multiplicity 2)  4 Be 2.86, 4 Sc 3.15
Sc: 0.0000 0.5000 0.2099 (multiplicity 4)  2 Be 2.69, 4 Sc 2.97
Be: 0.0000 0.0000 0.5000 (multiplicity 2)  8 Sc 2.69-2.86

=====

A PBEsol-optimized structure of LaTcP2, computed with meta-GGA SCAN.

Formation enthalpy at 0 K, meV per atom: -657
Offset from the most stable computed form, meV/atom: 324

Cell: 4.0620 5.5977 6.6821 Å, 90.00 90.00 90.00°
With the nearest neighbours (Å) after each atom.
Space group Immm (No. 71)
One atom of each set of equivalent atoms:
La: 0.0000 0.0000 0.0000 (multiplicity 2)  8 P 2.94-3.05
Tc: 0.0000 0.0000 0.5000 (multiplicity 2)  4 P 2.37
P: 0.0000 0.5000 0.1818 (multiplicity 4)  2 Tc 2.37, 1 P 2.43